[1]
Below is NaPdSO4F after structural relaxation, with properties calculated at the PBE level.

abc: 6.503 9.181 6.945
angles: 90.00 116.28 90.00
Space group C2/c (No. 15)
Inequivalent atoms, fractional coordinates:
Na 0.000 0.167 0.250 x4
Pd 0.000 0.500 0.000 x4
S 0.000 0.153 0.750 x4
O 0.119 0.238 0.653 x8
O 0.166 0.053 0.925 x8
F 0.000 0.399 0.250 x4

Output
The calculation puts the total energy at -42.67 eV/f.u.


[2]
Below is PuUTe after structural relaxation, with properties calculated at the PBE level.

abc: 7.136 7.136 7.136
angles: 90.00 90.00 90.00
Space group F-43m (No. 216)
Inequivalent atoms, fractional coordinates:
Pu 0.000 0.000 0.000 x4
U 0.000 0.000 0.500 x4
Te 0.250 0.250 0.250 x4

Output
For the energy above the lowest structure with this stoichiometry, the calculation gives 0 meV per atom. The calculation puts the total energy at -28.34 eV/f.u.


[3]
Below is AlAgBi after structural relaxation, with properties calculated at the PBE level.

abc: 7.489 4.300 8.605
angles: 90.00 90.00 90.00
Space group Pnma (No. 62)
Inequivalent atoms, fractional coordinates:
Al 0.092 0.250 0.082 x4
Ag 0.055 0.250 0.769 x4
Bi 0.170 0.250 0.431 x4

Output
For the energy above the lowest structure with this stoichiometry, the calculation gives 0 meV per atom. The calculation puts the total energy at -10.12 eV/f.u.


[4]
Below is TlTcAuSeS2 after structural relaxation, with properties calculated at the PBE level.

abc: 3.301 16.250 9.854
angles: 90.00 90.00 90.00
Space group Cmcm (No. 63)
Inequivalent atoms, fractional coordinates:
Tl 0.000 0.193 0.250 x4
Tc 0.000 0.500 0.000 x4
Au 0.000 0.152 0.750 x4
Se 0.000 0.464 0.750 x4
S 0.000 0.108 0.521 x8

Output
The calculation puts the total energy at -28.66 eV/f.u.


[5]
Below is KLaCoSe3 after structural relaxation, with properties calculated at the PBE level.

abc: 11.717 4.312 12.574
angles: 90.00 90.00 90.00
Space group Pnma (No. 62)
Inequivalent atoms, fractional coordinates:
K 0.170 0.250 0.008 x4
La 0.019 0.250 0.673 x4
Co 0.247 0.250 0.295 x4
Se 0.056 0.750 0.836 x4
Se 0.116 0.250 0.442 x4
Se 0.216 0.750 0.207 x4

Output
For the energy above the lowest structure with this stoichiometry, the calculation gives 0 meV per atom. The calculation puts the total energy at -30.71 eV/f.u.


[6]
Below is PrSiH2O4 after structural relaxation, with properties calculated at the PBE level.

abc: 6.637 6.637 8.386
angles: 90.00 90.00 90.00
Space group I-42d (No. 122)
Inequivalent atoms, fractional coordinates:
Pr 0.000 0.000 0.000 x4
Si 0.000 0.000 0.500 x4
H 0.000 0.000 0.276 x8
O 0.001 0.681 0.885 x16

Output
For the energy above the lowest structure with this stoichiometry, the calculation gives 410 meV per atom. The calculation puts the total energy at -49.72 eV/f.u.


[7]
Below is HoEr after structural relaxation, with properties calculated at the PBE level.

abc: 6.405 6.405 6.405
angles: 90.00 90.00 90.00
Space group Fm-3m (No. 225)
Inequivalent atoms, fractional coordinates:
Ho 0.000 0.000 0.000 x4
Er 0.000 0.000 0.500 x4

Output
For the energy above the lowest structure with this stoichiometry, the calculation gives 815 meV per atom. The calculation puts the total energy at -7.51 eV/f.u.


[8]
Below is Rb2ZnBr4 after structural relaxation, with properties calculated at the PBE level.

abc: 7.609 7.624 9.759
angles: 90.00 108.59 90.00
Space group P2_1/m (No. 11)
Inequivalent atoms, fractional coordinates:
Rb 0.213 0.250 0.047 x2
Rb 0.284 0.250 0.575 x2
Zn 0.213 0.750 0.793 x2
Br 0.002 0.001 0.733 x4
Br 0.378 0.750 0.051 x2
Br 0.413 0.750 0.641 x2

Output
For the energy above the lowest structure with this stoichiometry, the calculation gives 0 meV per atom. The calculation puts the total energy at -19.88 eV/f.u.